Record 1
An optimized crystal structure of KIn4Se. Source: Alexandria via LeMat-Bulk, functional PBE-GGA.

Lattice parameters (Å, degrees): 6.3461 6.3461 6.3461 60.00 60.00 60.00
Atoms (fractional coordinates):
In  0.3750  0.3750  0.8749
In  0.3750  0.3750  0.3750
In  0.3750  0.8749  0.3750
In  0.8749  0.3750  0.3750
K  0.7500  0.7500  0.7500
Se  0.0000  0.0000  0.0000

Values from the calculation:
calculated total energy: -15.81 eV/cell
ρ: 5.3 g/cm³
space-group type: F-43m, No. 216

***

Record 2
An optimized crystal structure of K2InSiSe4. Source: Alexandria via LeMat-Bulk, functional PBE-GGA.

Lattice parameters (Å, degrees): 7.0050 7.0050 7.0050 104.31 112.11 112.11
Atoms (fractional coordinates):
K  0.5000  0.7500  0.2500
K  0.0000  0.0000  0.0000
Se  0.3507  0.8374  0.7990
Se  0.9616  0.5132  0.1626
Se  0.0384  0.2010  0.5517
Se  0.6493  0.4483  0.4868
Si  0.0000  0.5000  0.5000
In  0.5000  0.2500  0.7500

Values from the calculation:
calculated total energy: -30.32 eV/cell
ρ: 3.4 g/cm³
space-group type: I-4, No. 82

***

Record 3
An optimized crystal structure of K2SmInSe4. Source: Alexandria via LeMat-Bulk, functional PBE-GGA.

Lattice parameters (Å, degrees): 8.7407 8.7407 8.7854 120.17 120.17 90.71
Atoms (fractional coordinates):
K  0.0000  0.0000  0.5000
K  0.5000  0.0000  0.0000
K  0.5000  0.5000  0.0000
K  0.5000  0.0000  0.5000
Se  0.2404  0.2599  0.4636
Se  0.7855  0.2584  0.0220
Se  0.7584  0.2855  0.5220
Se  0.2416  0.7145  0.4780
Se  0.2401  0.2596  0.0364
Se  0.2145  0.7416  0.9780
Se  0.7599  0.7404  0.9636
Se  0.7596  0.7401  0.5364
In  0.5000  0.5000  0.5000
In  0.0000  0.0000  0.0000
Sm  0.0000  0.5000  0.0000
Sm  0.0000  0.5000  0.5000

Values from the calculation:
calculated total energy: -67.04 eV/cell
ρ: 4.7 g/cm³
space-group type: Imma, No. 74

***

Record 4
An optimized crystal structure of K2InSnSe5. Source: Alexandria via LeMat-Bulk, functional PBE-GGA.

Lattice parameters (Å, degrees): 3.8273 10.9675 13.9957 90.00 90.00 100.05
Each line ends with the local moment (μB).
Atoms (fractional coordinates):
In  0.2274  0.4548  0.0321  0.00
In  0.7726  0.5452  0.5321  0.00
K  0.1288  0.2576  0.6808  0.00
K  0.8712  0.7424  0.1808  0.00
K  0.1179  0.2358  0.2933  0.00
K  0.8821  0.7642  0.7933  0.00
Se  0.3442  0.6883  0.9847  0.10
Se  0.2852  0.5703  0.6640  0.00
Se  0.3192  0.6383  0.3976  0.00
Se  0.5124  0.0248  0.7781  0.00
Se  0.4876  0.9752  0.2781  0.00
Se  0.0344  0.0687  0.0542  0.00
Se  0.9656  0.9313  0.5542  0.00
Se  0.6558  0.3117  0.4847  0.10
Se  0.6808  0.3617  0.8976  0.00
Se  0.7148  0.4297  0.1640  0.00
Sn  0.5640  0.1280  0.9392  0.00
Sn  0.4360  0.8720  0.4392  0.00

Values from the calculation:
calculated total energy: -64.60 eV/cell
ρ: 4.1 g/cm³
space-group type: Cmc2_1, No. 36

***

Record 5
An optimized crystal structure of KSr2InSe4. Source: Alexandria via LeMat-Bulk, functional PBE-GGA.

Lattice parameters (Å, degrees): 8.7657 8.7657 8.7747 120.03 120.03 88.94
Atoms (fractional coordinates):
K  0.0000  0.5000  0.5000
K  0.0000  0.5000  0.0000
Sr  0.5000  0.0000  0.5000
Sr  0.5000  0.5000  0.0000
Sr  0.5000  0.0000  0.0000
Sr  0.0000  0.0000  0.5000
Se  0.2887  0.7294  0.5091
Se  0.7471  0.7533  0.9955
Se  0.7706  0.2113  0.9909
Se  0.2529  0.2467  0.0045
Se  0.2294  0.7887  0.0091
Se  0.7113  0.2706  0.4909
Se  0.7467  0.7529  0.5045
Se  0.2533  0.2471  0.4955
In  0.5000  0.5000  0.5000
In  0.0000  0.0000  0.0000

Values from the calculation:
calculated total energy: -63.44 eV/cell
ρ: 4.5 g/cm³
space-group type: Imma, No. 74

***

Record 6
An optimized crystal structure of KSrInSe3. Source: Alexandria via LeMat-Bulk, functional PBE-GGA.

Lattice parameters (Å, degrees): 4.3796 7.8900 12.3210 90.00 90.00 106.11
Atoms (fractional coordinates):
K  0.2485  0.4969  0.2500
K  0.7515  0.5031  0.7500
Se  0.0706  0.1412  0.7500
Se  0.9294  0.8588  0.2500
Se  0.6322  0.2643  0.0775
Se  0.3678  0.7357  0.9225
Se  0.3678  0.7357  0.5775
Se  0.6322  0.2643  0.4225
In  0.5380  0.0760  0.2500
In  0.4620  0.9240  0.7500
Sr  0.0000  0.0000  0.0000
Sr  0.0000  0.0000  0.5000

Values from the calculation:
calculated total energy: -47.08 eV/cell
ρ: 3.9 g/cm³
space-group type: Cmcm, No. 63

***

Record 7
An optimized crystal structure of K2SrInSe. Source: Alexandria via LeMat-Bulk, functional PBE-GGA.

Lattice parameters (Å, degrees): 6.9733 6.0938 6.9733 90.00 90.00 90.00
Atoms (fractional coordinates):
Sr  0.0000  0.0000  0.0000
Se  0.5000  0.5000  0.5000
K  0.5000  0.0000  0.0000
K  0.0000  0.0000  0.5000
In  0.0000  0.5000  0.0000

Values from the calculation:
calculated total energy: -7.56 eV/cell
ρ: 2.0 g/cm³
space-group type: P4/mmm, No. 123

***

Record 8
An optimized crystal structure of K3Tb3InSe8. Source: Alexandria via LeMat-Bulk, functional PBE-GGA.

Lattice parameters (Å, degrees): 8.2680 8.2794 9.2433 116.65 90.00 119.97
Atoms (fractional coordinates):
Se  0.2608  0.0294  0.2980
Se  0.7687  0.5374  0.2981
Se  0.2313  0.4626  0.7019
Se  0.7354  0.4709  0.7062
Se  0.2646  0.5291  0.2938
Se  0.7687  0.0294  0.2980
Se  0.7392  0.9706  0.7020
Se  0.2313  0.9706  0.7020
K  0.0000  0.0000  0.0000
K  0.0000  0.5000  0.0000
K  0.5000  0.5000  0.0000
Tb  0.5000  0.0000  0.5000
Tb  0.0000  0.5000  0.5000
Tb  0.5000  0.5000  0.5000
In  0.0000  0.0000  0.5000

Values from the calculation:
calculated total energy: -69.21 eV/cell
ρ: 4.7 g/cm³
space-group type: C2/m, No. 12

***

Record 9
An optimized crystal structure of KInTcSe2. Source: Alexandria via LeMat-Bulk, functional PBE-GGA.

Lattice parameters (Å, degrees): 4.9023 5.9709 4.9023 90.00 90.00 90.00
Atoms (fractional coordinates):
Se  0.0000  0.0000  0.5000
Se  0.5000  0.0000  0.0000
In  0.5000  0.5000  0.5000
K  0.0000  0.5000  0.0000
Tc  0.0000  0.0000  0.0000

Values from the calculation:
calculated total energy: -20.08 eV/cell
ρ: 4.7 g/cm³
space-group type: P4/mmm, No. 123

***

Record 10
An optimized crystal structure of K2InTeSe4. Source: Alexandria via LeMat-Bulk, functional PBE-GGA.

Lattice parameters (Å, degrees): 8.5485 8.5485 8.4457 116.64 116.64 89.66
Atoms (fractional coordinates):
Se  0.7793  0.3096  0.5685
Se  0.7928  0.7569  0.0106
Se  0.2569  0.2928  0.5106
Se  0.2072  0.2431  0.9894
Se  0.1904  0.7207  0.9315
Se  0.7431  0.7072  0.4894
Se  0.2207  0.6904  0.4315
Se  0.8096  0.2793  0.0685
Te  0.5000  0.5000  0.5000
Te  0.0000  0.0000  0.0000
K  0.5000  0.0000  0.5000
K  0.5000  0.0000  0.0000
K  0.0000  0.0000  0.5000
K  0.5000  0.5000  0.0000
In  0.0000  0.5000  0.5000
In  0.0000  0.5000  0.0000

Values from the calculation:
calculated total energy: -53.89 eV/cell
ρ: 4.4 g/cm³
space-group type: C2/c, No. 15

***

Record 11
An optimized crystal structure of KIn2TeSe6. Source: Alexandria via LeMat-Bulk, functional PBE-GGA.

Lattice parameters (Å, degrees): 7.8120 9.6817 9.6817 76.05 69.18 69.18
Atoms (fractional coordinates):
Te  0.7500  0.7872  0.2128
Te  0.2500  0.2128  0.7872
Se  0.7015  0.4166  0.3206
Se  0.1153  0.6353  0.0492
Se  0.6153  0.0492  0.6353
Se  0.3847  0.9508  0.3647
Se  0.2015  0.3206  0.4166
Se  0.1306  0.9873  0.8209
Se  0.2985  0.5834  0.6794
Se  0.7985  0.6794  0.5834
Se  0.8847  0.3647  0.9508
Se  0.8694  0.0127  0.1791
Se  0.3694  0.1791  0.0127
Se  0.6306  0.8209  0.9873
In  0.5722  0.1765  0.3684
In  0.9278  0.6316  0.8235
In  0.4278  0.8235  0.6316
In  0.0722  0.3684  0.1765
K  0.7500  0.3211  0.6789
K  0.2500  0.6789  0.3211

Values from the calculation:
calculated total energy: -68.81 eV/cell
ρ: 4.6 g/cm³
space-group type: C2/c, No. 15

***

Record 12
An optimized crystal structure of KIn2Te2Se. Source: Alexandria via LeMat-Bulk, functional PBE-GGA.

Lattice parameters (Å, degrees): 7.4395 8.0302 7.5629 77.75 90.00 90.00
Atoms (fractional coordinates):
In  0.9834  0.1049  0.2353
In  0.5166  0.1049  0.2353
In  0.4834  0.8951  0.7647
In  0.0166  0.8951  0.7647
Se  0.2500  0.0129  0.0275
Se  0.7500  0.9871  0.9725
Te  0.7500  0.3990  0.2090
Te  0.7500  0.8390  0.4841
Te  0.2500  0.6010  0.7910
Te  0.2500  0.1610  0.5159
K  0.2500  0.6092  0.2817
K  0.7500  0.3908  0.7183

Values from the calculation:
calculated total energy: -39.02 eV/cell
ρ: 4.5 g/cm³
space-group type: P2_1/m, No. 11

***

Record 13
An optimized crystal structure of K2ThInSe5. Source: Alexandria via LeMat-Bulk, functional PBE-GGA.

Lattice parameters (Å, degrees): 4.2127 10.1228 14.4827 90.00 90.00 102.01
Each line ends with the local moment (μB).
Atoms (fractional coordinates):
K  0.8637  0.7274  0.8208  0.00
K  0.1363  0.2726  0.3208  0.00
K  0.8839  0.7677  0.1837  0.00
K  0.1161  0.2323  0.6837  0.00
Se  0.9499  0.8998  0.5430  0.03
Se  0.0501  0.1002  0.0430  0.03
Se  0.7047  0.4093  0.1577  0.05
Se  0.2953  0.5907  0.6577  0.05
Se  0.6508  0.3017  0.5064  0.26
Se  0.5056  0.0112  0.2758  0.25
Se  0.3492  0.6983  0.0064  0.26
Se  0.6860  0.3720  0.8813  0.01
Se  0.4944  0.9888  0.7758  0.25
Se  0.3140  0.6280  0.3813  0.01
In  0.5530  0.1059  0.9316  0.00
In  0.4470  0.8941  0.4316  0.00
Th  0.2068  0.4136  0.0236  0.01
Th  0.7932  0.5864  0.5236  0.01

Values from the calculation:
calculated total energy: -79.45 eV/cell
ρ: 4.5 g/cm³
space-group type: Cmc2_1, No. 36

***

Record 14
An optimized crystal structure of K2TlInSe4. Source: Alexandria via LeMat-Bulk, functional PBE-GGA.

Lattice parameters (Å, degrees): 7.6379 7.6379 7.2240 121.93 121.92 89.99
Atoms (fractional coordinates):
K  0.4859  0.9860  0.9718
K  0.2358  0.2358  0.4718
In  0.9859  0.4860  0.9718
Se  0.6794  0.6084  0.7272
Se  0.3530  0.7923  0.2162
Se  0.8632  0.4239  0.2162
Se  0.0478  0.1187  0.7272
Tl  0.7359  0.7359  0.4719

Values from the calculation:
calculated total energy: -27.32 eV/cell
ρ: 4.2 g/cm³
space-group type: I-4, No. 82

***

Record 15
An optimized crystal structure of KTl2In2Se4. Source: Alexandria via LeMat-Bulk, functional PBE-GGA.

Lattice parameters (Å, degrees): 4.7118 9.1098 7.8169 107.26 90.00 104.99
Atoms (fractional coordinates):
Tl  0.8861  0.7721  0.4482
Tl  0.1139  0.2279  0.5518
In  0.3254  0.6508  0.0017
In  0.6746  0.3492  0.9983
K  0.0000  0.0000  0.0000
Se  0.4585  0.9170  0.2652
Se  0.2109  0.4217  0.1823
Se  0.5415  0.0830  0.7348
Se  0.7891  0.5783  0.8177

Values from the calculation:
calculated total energy: -30.27 eV/cell
ρ: 5.3 g/cm³
space-group type: C2/m, No. 12

***

Record 16
An optimized crystal structure of K3Tm3InSe8. Source: Alexandria via LeMat-Bulk, functional PBE-GGA.

Lattice parameters (Å, degrees): 8.1419 8.1549 9.2030 116.36 90.00 119.97
Atoms (fractional coordinates):
Tm  0.0000  0.5000  0.5000
Tm  0.5000  0.5000  0.5000
Tm  0.5000  0.0000  0.5000
Se  0.7667  0.0327  0.2993
Se  0.7339  0.9673  0.7007
Se  0.7666  0.5333  0.2993
Se  0.7344  0.4687  0.7030
Se  0.2661  0.0327  0.2993
Se  0.2333  0.9673  0.7007
Se  0.2656  0.5313  0.2970
Se  0.2334  0.4667  0.7007
K  0.0000  0.0000  0.0000
K  0.5000  0.5000  0.0000
K  0.0000  0.5000  0.0000
In  0.0000  0.0000  0.5000

Values from the calculation:
calculated total energy: -68.72 eV/cell
ρ: 5.0 g/cm³
space-group type: C2/m, No. 12

***

Record 17
An optimized crystal structure of KTmInSe3. Source: Alexandria via LeMat-Bulk, functional PBE-GGA.

Lattice parameters (Å, degrees): 4.0638 8.6137 11.2439 107.46 90.00 90.00
Atoms (fractional coordinates):
Se  0.2500  0.1091  0.8086
Se  0.7500  0.8909  0.1914
Se  0.2500  0.5926  0.8878
Se  0.7500  0.4074  0.1122
Se  0.2500  0.6521  0.4094
Se  0.7500  0.3479  0.5906
In  0.2500  0.1349  0.5791
In  0.7500  0.8651  0.4209
K  0.7500  0.7738  0.7389
K  0.2500  0.2262  0.2611
Tm  0.2500  0.6429  0.1452
Tm  0.7500  0.3571  0.8548

Values from the calculation:
calculated total energy: -52.69 eV/cell
ρ: 5.0 g/cm³
space-group type: P2_1/m, No. 11

***

Record 18
An optimized crystal structure of K2TmInSe4. Source: Alexandria via LeMat-Bulk, functional PBE-GGA.

Lattice parameters (Å, degrees): 8.6298 8.6298 8.5795 119.80 119.80 90.63
Atoms (fractional coordinates):
K  0.5000  0.5000  0.0000
K  0.0000  0.0000  0.5000
K  0.5000  0.0000  0.5000
K  0.5000  0.0000  0.0000
Se  0.2361  0.2635  0.0325
Se  0.2365  0.2639  0.4675
Se  0.2344  0.7091  0.4717
Se  0.7909  0.2656  0.0283
Se  0.7635  0.7362  0.5325
Se  0.2091  0.7344  0.9717
Se  0.7656  0.2909  0.5283
Se  0.7638  0.7365  0.9675
In  0.0000  0.0000  0.0000
In  0.5000  0.5000  0.5000
Tm  0.0000  0.5000  0.5000
Tm  0.0000  0.5000  0.0000

Values from the calculation:
calculated total energy: -66.50 eV/cell
ρ: 5.0 g/cm³
space-group type: Imma, No. 74

***

Record 19
An optimized crystal structure of K2U3InSe8. Source: Alexandria via LeMat-Bulk, functional PBE-GGA.

Lattice parameters (Å, degrees): 8.4560 8.4560 9.4073 63.29 63.29 60.00
Each line ends with the local moment (μB).
Atoms (fractional coordinates):
In  0.8786  0.8786  0.3643  -0.02
K  0.1340  0.1340  0.5979  0.00
K  0.4978  0.4978  0.5067  0.00
U  0.9993  0.4988  0.0030  1.86
U  0.4988  0.4988  0.0030  1.86
U  0.4988  0.9993  0.0030  1.86
Se  0.2414  0.2414  0.8182  -0.07
Se  0.2414  0.6990  0.8182  -0.07
Se  0.2926  0.7571  0.1932  -0.07
Se  0.7278  0.7278  0.8167  -0.07
Se  0.7571  0.7571  0.1932  -0.07
Se  0.6990  0.2414  0.8182  -0.07
Se  0.2689  0.2689  0.1933  -0.06
Se  0.7571  0.2926  0.1932  -0.07

Values from the calculation:
calculated total energy: -81.81 eV/cell
ρ: 5.1 g/cm³
space-group type: R3m, No. 160

***

Record 20
An optimized crystal structure of KInW2Se. Source: Alexandria via LeMat-Bulk, functional PBE-GGA.

Lattice parameters (Å, degrees): 4.8601 5.4588 4.8601 90.00 90.00 90.00
Each line ends with the local moment (μB).
Atoms (fractional coordinates):
K  0.0000  0.0000  0.0000  0.00
W  0.5000  0.0000  0.0000  0.61
W  0.0000  0.0000  0.5000  0.53
In  0.0000  0.5000  0.0000  -0.01
Se  0.5000  0.5000  0.5000  -0.03

Values from the calculation:
calculated total energy: -17.01 eV/cell
ρ: 7.7 g/cm³
space-group type: P4/mmm, No. 123